(1)
Crystalline CrHgO4 at its relaxed geometry. Source: the Alexandria database, functional PBE with a Hubbard U.

a b c (Å): 8.8319 5.5974 9.0858
angles (deg): 57.61 90.00 90.00
With the nearest neighbours (Å) after each atom.
Atoms (fractional coordinates):
O  0.3588  0.8113  0.6061  1 Cr 1.72
O  0.6076  0.3859  0.6688  1 Cr 1.71
O  0.2754  0.3008  0.2126  1 Cr 1.64
O  0.7754  0.6992  0.2874  1 Cr 1.64
O  0.9204  0.2216  0.5112  1 Cr 1.62
O  0.1412  0.8113  0.1061  1 Cr 1.72
O  0.1076  0.6141  0.8312  1 Cr 1.71
O  0.6412  0.1887  0.3939  1 Cr 1.72
O  0.8588  0.1887  0.8939  1 Cr 1.72
O  0.0796  0.7784  0.4888  1 Cr 1.62
O  0.2246  0.3008  0.7126  1 Cr 1.64
O  0.3924  0.6141  0.3312  1 Cr 1.71
O  0.4204  0.7784  0.9888  1 Cr 1.62
O  0.5796  0.2216  0.0112  1 Cr 1.62
O  0.7246  0.6992  0.7874  1 Cr 1.64
O  0.8924  0.3859  0.1688  1 Cr 1.71
Cr  0.6910  0.3724  0.8430  4 O 1.62-1.72
Cr  0.8090  0.3724  0.3430  4 O 1.62-1.72
Cr  0.1910  0.6276  0.6570  4 O 1.62-1.72
Cr  0.3090  0.6276  0.1570  4 O 1.62-1.72
Hg  0.4623  0.0883  0.6663  2 O 2.11
Hg  0.5377  0.9117  0.3337  2 O 2.11
Hg  0.0377  0.0883  0.1663  2 O 2.11
Hg  0.9623  0.9117  0.8337  2 O 2.11

Properties
Space group   P2_1/c
Spin magnetization   0.00 Bohr magnetons per cell
ΔE to the lowest computed polymorph   5 meV/atom
Uncorrected energy   -5.4590 eV per atom

---

(2)
Crystalline Cr2HgO4 at its relaxed geometry. Source: the Alexandria database, functional PBE with a Hubbard U.

a b c (Å): 6.2574 6.2574 6.2574
angles (deg): 60.00 60.00 60.00
With the nearest neighbours (Å) after each atom.
Atoms (fractional coordinates):
O  0.3957  0.3957  0.3957  3 Cr 2.05, 1 Hg 2.23
O  0.3957  0.8128  0.3957  3 Cr 2.05, 1 Hg 2.23
O  0.8543  0.4372  0.8543  3 Cr 2.05, 1 Hg 2.23
O  0.8128  0.3957  0.3957  3 Cr 2.05, 1 Hg 2.23
O  0.4372  0.8543  0.8543  3 Cr 2.05, 1 Hg 2.23
O  0.8543  0.8543  0.4372  3 Cr 2.05, 1 Hg 2.23
O  0.8543  0.8543  0.8543  3 Cr 2.05, 1 Hg 2.23
O  0.3957  0.3957  0.8128  3 Cr 2.05, 1 Hg 2.23
Cr  0.6250  0.1250  0.6250  6 O 2.05
Cr  0.6250  0.6250  0.6250  6 O 2.05
Cr  0.6250  0.6250  0.1250  6 O 2.05
Cr  0.1250  0.6250  0.6250  6 O 2.05
Hg  0.2500  0.2500  0.2500  4 O 2.23
Hg  0.0000  0.0000  0.0000  4 O 2.23

Properties
Space group   Fd-3m
Spin magnetization   12.00 Bohr magnetons per cell
Uncorrected energy   -6.5238 eV per atom

---

(3)
Crystalline Cr2Hg2O9 at its relaxed geometry. Source: the Alexandria database, functional PBE with a Hubbard U.

a b c (Å): 6.5527 6.5527 13.7385
angles (deg): 72.58 72.58 47.91
With the nearest neighbours (Å) after each atom.
Atoms (fractional coordinates):
O  0.8687  0.6022  0.1603  1 Cr 1.62
O  0.6002  0.2868  0.6651  1 Cr 1.74
O  0.7974  0.6033  0.4306  1 Cr 1.73
O  0.7421  0.0851  0.4860  1 Cr 1.62
O  0.3967  0.2026  0.0694  1 Cr 1.73
O  0.2579  0.9149  0.5140  1 Cr 1.62
O  0.2868  0.6002  0.1651  1 Cr 1.74
O  0.0652  0.9348  0.7500  2 Hg 2.45, 2 O 2.66
O  0.7132  0.3998  0.8349  1 Cr 1.74
O  0.9149  0.2579  0.0140  1 Cr 1.62
O  0.3998  0.7132  0.3349  1 Cr 1.74
O  0.2026  0.3967  0.5694  1 Cr 1.73
O  0.0851  0.7421  0.9860  1 Cr 1.62
O  0.3978  0.1313  0.3397  1 Cr 1.62
O  0.1313  0.3978  0.8397  1 Cr 1.62
O  0.9348  0.0652  0.2500  2 Hg 2.45, 2 O 2.66
O  0.6033  0.7974  0.9306  1 Cr 1.73
O  0.6022  0.8687  0.6603  1 Cr 1.62
Cr  0.1516  0.5425  0.0955  4 O 1.62-1.74
Cr  0.5425  0.1516  0.5955  4 O 1.62-1.74
Cr  0.8484  0.4575  0.9045  4 O 1.62-1.74
Cr  0.4575  0.8484  0.4045  4 O 1.62-1.74
Hg  0.1050  0.6503  0.3781  2 O 2.12
Hg  0.6503  0.1050  0.8781  2 O 2.12
Hg  0.8950  0.3497  0.6219  2 O 2.12
Hg  0.3497  0.8950  0.1219  2 O 2.12

Properties
Space group   C2/c
Spin magnetization   4.00 Bohr magnetons per cell
Uncorrected energy   -5.2113 eV per atom

---

(4)
Crystalline CrHg3O at its relaxed geometry. Source: the Alexandria database, functional PBE with a Hubbard U.

a b c (Å): 5.4829 5.4829 5.4829
angles (deg): 90.00 90.00 90.00
With the nearest neighbours (Å) after each atom.
Atoms (fractional coordinates):
Hg  0.5000  0.0000  0.0000  2 Cr 2.74
Hg  0.0000  0.0000  0.5000  2 Cr 2.74
Hg  0.0000  0.5000  0.0000  2 Cr 2.74
O  0.5000  0.5000  0.5000  12 Hg 3.88
Cr  0.0000  0.0000  0.0000  6 Hg 2.74

Properties
Space group   Pm-3m
Spin magnetization   3.76 Bohr magnetons per cell
ΔE to the lowest computed polymorph   213 meV/atom
Uncorrected energy   -2.0060 eV per atom

---

(5)
Crystalline CrHg2O5 at its relaxed geometry. Source: the Alexandria database, functional PBE with a Hubbard U.

a b c (Å): 6.0722 6.1315 7.4352
angles (deg): 114.42 130.14 89.98
With the nearest neighbours (Å) after each atom.
Atoms (fractional coordinates):
O  0.2780  0.2592  0.1127  1 Cr 1.86
O  0.9062  0.8764  0.1589  1 Cr 1.87
O  0.6902  0.8336  0.6691  1 Cr 1.62
O  0.2788  0.8541  0.1136  1 Cr 1.86
O  0.9053  0.2825  0.1579  1 Cr 1.87
Hg  0.1289  0.5889  0.1774  4 O 2.21-2.22
Hg  0.6083  0.0795  0.1585  4 O 2.19
Cr  0.9812  0.0029  0.0060  1 O 1.62

Properties
Space group   P1
Spin magnetization   0.98 Bohr magnetons per cell
Uncorrected energy   -4.7134 eV per atom

---

(6)
Crystalline CrHgO4 at its relaxed geometry. Source: the Alexandria database, functional PBE with a Hubbard U.

a b c (Å): 5.4181 5.4181 7.2281
angles (deg): 90.00 90.00 115.33
With the nearest neighbours (Å) after each atom.
Atoms (fractional coordinates):
O  0.2567  0.7433  0.0645  1 Cr 1.64
O  0.2567  0.7433  0.4355  1 Cr 1.64
O  0.7085  0.7767  0.2500  1 Cr 1.71
O  0.2233  0.2915  0.2500  1 Cr 1.71
O  0.7433  0.2567  0.9355  1 Cr 1.64
O  0.7767  0.7085  0.7500  1 Cr 1.71
O  0.2915  0.2233  0.7500  1 Cr 1.71
O  0.7433  0.2567  0.5645  1 Cr 1.64
Cr  0.6411  0.3589  0.7500  4 O 1.64-1.71
Cr  0.3589  0.6411  0.2500  4 O 1.64-1.71
Hg  0.0000  0.0000  0.0000  6 O 2.36-2.40
Hg  0.0000  0.0000  0.5000  6 O 2.36-2.40

Properties
Space group   Cmcm
Spin magnetization   0.00 Bohr magnetons per cell
ΔE to the lowest computed polymorph   0 meV/atom
Uncorrected energy   -5.4637 eV per atom

---

(7)
Crystalline CrHg3O at its relaxed geometry. Source: the Alexandria database, functional PBE with a Hubbard U.

a b c (Å): 4.8468 4.8468 4.8468
angles (deg): 90.00 90.00 90.00
With the nearest neighbours (Å) after each atom.
Atoms (fractional coordinates):
Hg  0.0000  0.0000  0.5000  2 O 2.42
Hg  0.0000  0.5000  0.0000  2 O 2.42
Hg  0.5000  0.0000  0.0000  2 O 2.42
Cr  0.5000  0.5000  0.5000  12 Hg 3.43
O  0.0000  0.0000  0.0000  6 Hg 2.42

Properties
Space group   Pm-3m
Spin magnetization   4.56 Bohr magnetons per cell
ΔE to the lowest computed polymorph   0 meV/atom
Uncorrected energy   -2.2186 eV per atom

---

(8)
Crystalline CrHgO2 at its relaxed geometry. Source: the Alexandria database, functional PBE with a Hubbard U.

a b c (Å): 7.0293 7.0293 7.0293
angles (deg): 24.68 24.68 24.68
With the nearest neighbours (Å) after each atom.
Atoms (fractional coordinates):
Cr  0.5000  0.5000  0.5000  6 O 2.00
Hg  0.0000  0.0000  0.0000  2 O 2.41
O  0.1180  0.1180  0.1180  3 Cr 2.00
O  0.8820  0.8820  0.8820  3 Cr 2.00

Properties
Space group   R-3m
Spin magnetization   2.52 Bohr magnetons per cell
Uncorrected energy   -5.6607 eV per atom

---

(9)
Crystalline CrHg2O at its relaxed geometry. Source: the Alexandria database, functional PBE with a Hubbard U.

a b c (Å): 11.4017 11.4017 8.2673
angles (deg): 46.40 46.40 90.00
With the nearest neighbours (Å) after each atom.
Atoms (fractional coordinates):
Cr  0.7500  0.2500  0.5000  2 O 1.83
Cr  0.0000  0.0000  0.0000  2 O 1.83
Hg  0.3750  0.4993  0.7500  2 O 3.22, 2 Hg 3.37, 2 Cr 3.47
Hg  0.2493  0.6250  0.2500  2 O 3.22, 2 Hg 3.37, 2 Cr 3.47
Hg  0.5007  0.1250  0.2500  2 O 3.22, 2 Hg 3.37, 2 Cr 3.47
Hg  0.8750  0.7507  0.7500  2 O 3.22, 2 Hg 3.37, 2 Cr 3.47
O  0.5000  0.5000  0.0000  2 Cr 1.83
O  0.2500  0.7500  0.5000  2 Cr 1.83

Properties
Space group   I-42d
Spin magnetization   8.00 Bohr magnetons per cell
Uncorrected energy   -3.5882 eV per atom

---

(10)
Crystalline Cr2HgO at its relaxed geometry. Source: the Alexandria database, functional PBE with a Hubbard U.

a b c (Å): 5.6706 5.6706 6.6556
angles (deg): 64.79 64.79 90.00
With the nearest neighbours (Å) after each atom.
Atoms (fractional coordinates):
Cr  0.8750  0.6965  0.7500  2 O 1.98
Cr  0.4465  0.1250  0.2500  2 O 1.98
Cr  0.3750  0.5535  0.7500  2 O 1.98
Cr  0.3035  0.6250  0.2500  2 O 1.98
O  0.2500  0.7500  0.5000  4 Cr 1.98
O  0.5000  0.5000  0.0000  4 Cr 1.98
Hg  0.7500  0.2500  0.5000  4 Cr 3.11
Hg  0.0000  0.0000  0.0000  4 Cr 3.11

Properties
Space group   I-42d
Spin magnetization   17.21 Bohr magnetons per cell
ΔE to the lowest computed polymorph   0 meV/atom
Uncorrected energy   -5.4987 eV per atom

---

(11)
Crystalline CrHgO2 at its relaxed geometry. Source: the Alexandria database, functional PBE with a Hubbard U.

a b c (Å): 5.8624 5.8624 5.8522
angles (deg): 59.94 59.94 90.00
With the nearest neighbours (Å) after each atom.
Atoms (fractional coordinates):
O  0.4237  0.6250  0.2500  2 Cr 1.82
O  0.8750  0.5763  0.7500  2 Cr 1.82
O  0.3263  0.1250  0.2500  2 Cr 1.82
O  0.3750  0.6737  0.7500  2 Cr 1.82
Cr  0.5000  0.5000  0.0000  4 O 1.82
Cr  0.2500  0.7500  0.5000  4 O 1.82
Hg  0.0000  0.0000  0.0000  8 O 3.20-3.44
Hg  0.7500  0.2500  0.5000  8 O 3.20-3.44

Properties
Space group   I-42d
Spin magnetization   4.10 Bohr magnetons per cell
Uncorrected energy   -5.3683 eV per atom

---

(12)
Crystalline CrHgO2 at its relaxed geometry. Source: the Alexandria database, functional PBE with a Hubbard U.

a b c (Å): 6.5728 6.5728 6.5728
angles (deg): 30.29 30.29 30.29
With the nearest neighbours (Å) after each atom.
Atoms (fractional coordinates):
O  0.9008  0.9008  0.9008  1 Cr 1.87
O  0.0992  0.0992  0.0992  1 Cr 1.87
Hg  0.5000  0.5000  0.5000  6 O 2.35
Cr  0.0000  0.0000  0.0000  2 O 1.87

Properties
Space group   R-3m
Spin magnetization   3.75 Bohr magnetons per cell
Uncorrected energy   -4.7818 eV per atom